Here is a relaxed V2ZnO4 crystal from Alexandria via LeMat-Bulk. Energies are from PBE+U.

Unit cell a=6.064 b=6.064 c=6.064 alpha=60.19 beta=60.19 gamma=60.19
Fractional coordinates of all 14 atoms:
V: 0.753 0.753 0.753
V: 0.374 0.374 0.879
V: 0.879 0.374 0.374
V: 0.374 0.879 0.374
Zn: 0.998 0.998 0.998
Zn: 0.374 0.374 0.374
O: 0.620 0.620 0.620
O: 0.133 0.133 0.133
O: 0.623 0.148 0.623
O: 0.148 0.623 0.623
O: 0.623 0.623 0.148
O: 0.129 0.129 0.595
O: 0.595 0.129 0.129
O: 0.129 0.595 0.129

Summary:
Energy above the lowest structure with this stoichiometry: 44 meV per atom
Uncorrected energy: -7.01 eV/atom